The following is a SCAN calculation of a PBEsol-optimized structure of YGa2Pt, from the Alexandria database.

Its uncorrected energy is -33.414 eV per atom. The calculated formation energy comes out at -731.6 meV/atom.

abc: 4.613 4.613 4.613
angles: 60.00 60.00 60.00
Positions (direct):
1 Y 0.000 0.000 0.000
2 Ga 0.250 0.250 0.250
3 Ga 0.750 0.750 0.750
4 Pt 0.500 0.500 0.500

---

The following is a SCAN calculation of a PBEsol-optimized structure of Y2Ga2Pt, from the Alexandria database.

Its uncorrected energy is -32.729 eV per atom. The calculated formation energy comes out at -1014.4 meV/atom.

abc: 4.289 6.819 6.819
angles: 90.00 90.00 90.00
Positions (direct):
1 Y 0.500 0.173 0.673
2 Y 0.500 0.673 0.827
3 Y 0.500 0.827 0.327
4 Y 0.500 0.327 0.173
5 Ga 0.000 0.368 0.868
6 Ga 0.000 0.868 0.632
7 Ga 0.000 0.632 0.132
8 Ga 0.000 0.132 0.368
9 Pt 0.000 0.000 0.000
10 Pt 0.000 0.500 0.500

---

The following is a SCAN calculation of a PBEsol-optimized structure of Y3GaPt, from the Alexandria database.

Its uncorrected energy is -34.512 eV per atom. The calculated formation energy comes out at -497.9 meV/atom.

abc: 5.315 5.315 5.315
angles: 90.00 90.00 90.00
Positions (direct):
1 Y 0.000 0.500 0.000
2 Y 0.000 0.000 0.500
3 Y 0.500 0.000 0.000
4 Ga 0.500 0.500 0.500
5 Pt 0.000 0.000 0.000